[1]
A plane-wave DFT calculation with PBE-GGA was carried out for crystalline Sc5AuSe4 at its relaxed geometry.

abc: 8.677 8.677 5.542
angles: 90.00 90.00 90.00
Space group I4/m (No. 87)
Inequivalent atoms, fractional coordinates:
Sc1 0.000 0.000 0.000 [2 per cell]
Sc2 0.101 0.699 0.500 [8 per cell]
Au1 0.000 0.000 0.500 [2 per cell]
Se1 0.098 0.698 0.000 [8 per cell]

Values from the calculation:
D(E_F)   0.50 states/eV/atom
Uncorrected energy   -6.32 eV per atom

[2]
A plane-wave DFT calculation with PBE-GGA was carried out for crystalline BeIr2W at its relaxed geometry.

abc: 2.852 4.361 8.625
angles: 90.00 90.00 90.00
Space group Imm2 (No. 44)
Inequivalent atoms, fractional coordinates:
Be1 0.000 0.000 0.000 [2 per cell]
Ir1 0.000 0.000 0.489 [2 per cell]
Ir2 0.000 0.500 0.706 [2 per cell]
W1 0.000 0.500 0.264 [2 per cell]

Values from the calculation:
D(E_F)   0.79 states/eV/atom
Uncorrected energy   -8.79 eV per atom
ΔH_f (0 K)   -0.186 eV/atom

[3]
A plane-wave DFT calculation with PBE-GGA was carried out for crystalline CdFe2Cu at its relaxed geometry.

abc: 3.895 3.895 7.346
angles: 90.00 90.00 90.00
Space group I-4m2 (No. 119)
Inequivalent atoms, fractional coordinates:
Cd1 0.000 0.000 0.000 [2 per cell]
Fe1 0.000 0.000 0.500 [2 per cell]
Fe2 0.000 0.500 0.250 [2 per cell]
Cu1 0.000 0.500 0.750 [2 per cell]

Values from the calculation:
D(E_F)   0.57 states/eV/atom
Uncorrected energy   -5.18 eV per atom
ΔH_f (0 K)   0.304 eV/atom

[4]
A plane-wave DFT calculation with PBE-GGA was carried out for crystalline YScHg2 at its relaxed geometry.

abc: 7.254 7.254 7.254
angles: 90.00 90.00 90.00
Space group F-43m (No. 216)
Inequivalent atoms, fractional coordinates:
Y1 0.000 0.000 0.000 [4 per cell]
Sc1 0.250 0.250 0.250 [4 per cell]
Hg1 0.000 0.000 0.500 [4 per cell]
Hg2 0.250 0.250 0.750 [4 per cell]

Values from the calculation:
D(E_F)   1.60 states/eV/atom
Uncorrected energy   -3.39 eV per atom
ΔH_f (0 K)   -0.045 eV/atom

[5]
A plane-wave DFT calculation with PBE-GGA was carried out for crystalline PaAuBr6 at its relaxed geometry.

abc: 7.800 12.544 7.447
angles: 90.00 119.40 90.00
Space group C2/m (No. 12)
Inequivalent atoms, fractional coordinates:
Pa1 0.000 0.000 0.000 [2 per cell]
Au1 0.000 0.000 0.500 [2 per cell]
Br1 0.007 0.162 0.256 [8 per cell]
Br2 0.106 0.500 0.805 [4 per cell]

Values from the calculation:
Uncorrected energy   -3.90 eV per atom

[6]
A plane-wave DFT calculation with PBE-GGA was carried out for crystalline Na2CuHg2 at its relaxed geometry.

abc: 4.134 4.134 16.645
angles: 90.00 90.00 90.00
Space group I4/mmm (No. 139)
Inequivalent atoms, fractional coordinates:
Na1 0.000 0.000 0.094 [4 per cell]
Cu1 0.000 0.000 0.500 [2 per cell]
Hg1 0.000 0.500 0.250 [4 per cell]

Values from the calculation:
D(E_F)   0.37 states/eV/atom
Uncorrected energy   -1.29 eV per atom
ΔH_f (0 K)   0.175 eV/atom

[7]
A plane-wave DFT calculation with PBE-GGA was carried out for crystalline PRhIO2 at its relaxed geometry.

abc: 3.577 3.577 6.510
angles: 90.00 90.00 90.00
Space group P4/mmm (No. 123)
Inequivalent atoms, fractional coordinates:
P1 0.000 0.000 0.000 [1 per cell]
Rh1 0.500 0.500 0.500 [1 per cell]
I1 0.000 0.000 0.500 [1 per cell]
O1 0.000 0.500 0.000 [2 per cell]

Values from the calculation:
D(E_F)   0.98 states/eV/atom
Uncorrected energy   -4.90 eV per atom

[8]
A plane-wave DFT calculation with PBE-GGA was carried out for crystalline SrAl2Ag at its relaxed geometry.

abc: 7.762 4.480 6.364
angles: 90.00 113.88 90.00
Space group Cm (No. 8)
Inequivalent atoms, fractional coordinates:
Sr1 0.000 0.000 0.000 [2 per cell]
Al1 0.204 0.000 0.613 [2 per cell]
Al2 0.472 0.000 0.414 [2 per cell]
Ag1 0.309 0.500 0.426 [2 per cell]

Values from the calculation:
D(E_F)   0.32 states/eV/atom
Uncorrected energy   -3.22 eV per atom
ΔH_f (0 K)   -0.211 eV/atom

[9]
A plane-wave DFT calculation with PBE-GGA was carried out for crystalline Y3HoTl4Se8 at its relaxed geometry.

abc: 8.3701 8.3701 23.3133
angles: 90.00 90.00 120.00
Space group R-3m (No. 166, hexagonal axes)
Inequivalent atoms, fractional coordinates:
Y1 0.0000 0.5000 0.0000 [9 per cell]
Ho1 0.0000 0.0000 0.0000 [3 per cell]
Tl1 0.0000 0.0000 0.5000 [3 per cell]
Tl2 0.0000 0.5000 0.5000 [9 per cell]
Se1 0.0000 0.0000 0.2651 [6 per cell]
Se2 0.0014 0.5007 0.7347 [18 per cell]

Values from the calculation:
Uncorrected energy   -5.23 eV per atom

[10]
A plane-wave DFT calculation with PBE-GGA was carried out for crystalline Tb8ErTh2 at its relaxed geometry.

abc: 18.857 7.037 5.612
angles: 90.00 92.26 90.00
Space group C2/m (No. 12)
Inequivalent atoms, fractional coordinates:
Tb1 0.047 0.000 0.236 [4 per cell]
Tb2 0.131 0.230 0.738 [8 per cell]
Tb3 0.182 0.500 0.231 [4 per cell]
Er1 0.000 0.500 0.000 [2 per cell]
Th1 0.219 0.000 0.264 [4 per cell]

Values from the calculation:
D(E_F)   1.54 states/eV/atom
Uncorrected energy   -4.93 eV per atom
ΔH_f (0 K)   0.201 eV/atom

[11]
A plane-wave DFT calculation with PBE-GGA was carried out for crystalline Ac2Pr5Nd3 at its relaxed geometry.

abc: 13.767 16.805 6.779
angles: 90.00 90.00 90.00
Space group Ibam (No. 72)
Inequivalent atoms, fractional coordinates:
Ac1 0.157 0.248 0.000 [8 per cell]
Pr1 0.000 0.000 0.250 [4 per cell]
Pr2 0.096 0.344 0.500 [8 per cell]
Pr3 0.249 0.500 0.250 [8 per cell]
Nd1 0.000 0.500 0.250 [4 per cell]
Nd2 0.096 0.155 0.500 [8 per cell]

Values from the calculation:
D(E_F)   1.81 states/eV/atom
Uncorrected energy   -4.37 eV per atom
ΔH_f (0 K)   0.268 eV/atom

[12]
A plane-wave DFT calculation with PBE-GGA was carried out for crystalline Tb2NbN3 at its relaxed geometry.

abc: 3.380 3.380 14.213
angles: 90.00 90.00 90.00
Space group I4/mmm (No. 139)
Inequivalent atoms, fractional coordinates:
Tb1 0.000 0.000 0.163 [4 per cell]
Nb1 0.000 0.000 0.500 [2 per cell]
N1 0.000 0.000 0.000 [2 per cell]
N2 0.000 0.000 0.343 [4 per cell]

Values from the calculation:
D(E_F)   0.51 states/eV/atom
Uncorrected energy   -8.72 eV per atom

[13]
A plane-wave DFT calculation with PBE-GGA was carried out for crystalline KRbNaBr3 at its relaxed geometry.

abc: 9.655 4.843 10.820
angles: 90.00 100.61 90.00
Space group P2_1/m (No. 11)
Inequivalent atoms, fractional coordinates:
K1 0.155 0.250 0.148 [2 per cell]
Rb1 0.317 0.750 0.807 [2 per cell]
Na1 0.395 0.750 0.399 [2 per cell]
Br1 0.071 0.250 0.840 [2 per cell]
Br2 0.308 0.250 0.493 [2 per cell]
Br3 0.401 0.750 0.143 [2 per cell]

Values from the calculation:
D(E_F)   0.00 states/eV/atom
Uncorrected energy   -3.03 eV per atom

[14]
A plane-wave DFT calculation with PBE-GGA was carried out for crystalline FeSb2As2 at its relaxed geometry.

abc: 6.188 6.188 5.814
angles: 90.00 90.00 90.00
Space group P4/mbm (No. 127)
Inequivalent atoms, fractional coordinates:
Fe1 0.000 0.000 0.000 [2 per cell]
Sb1 0.210 0.290 0.500 [4 per cell]
As1 0.147 0.353 0.000 [4 per cell]

Values from the calculation:
D(E_F)   0.76 states/eV/atom
Uncorrected energy   -5.04 eV per atom

[15]
A plane-wave DFT calculation with PBE-GGA was carried out for crystalline CaFeCu2 at its relaxed geometry.

abc: 6.375 6.375 6.375
angles: 90.00 90.00 90.00
Space group F-43m (No. 216)
Inequivalent atoms, fractional coordinates:
Ca1 0.000 0.000 0.000 [4 per cell]
Fe1 0.250 0.250 0.250 [4 per cell]
Cu1 0.000 0.000 0.500 [4 per cell]
Cu2 0.250 0.250 0.750 [4 per cell]

Values from the calculation:
D(E_F)   1.41 states/eV/atom
Uncorrected energy   -4.24 eV per atom
ΔH_f (0 K)   0.422 eV/atom